#w
Below is Y3In5 after structural relaxation, with properties calculated at the PBE level.

a b c (Å): 6.5847 6.5847 4.7962
angles (deg): 90.00 90.00 92.23
Last column: nearest neighbours and their distance in Å.
Positions (direct):
In 0.0000 0.0000 0.0000  4 Y 3.22, 8 In 3.29-3.42
In 0.0000 0.5000 0.0000  6 In 3.29-3.38, 6 Y 3.29-3.32
In 0.5000 0.0000 0.0000  6 Y 3.29-3.32, 6 In 3.29-3.38
In 0.2678 0.2678 0.5000  6 Y 3.20-3.35, 6 In 3.38-3.42
In 0.7322 0.7322 0.5000  6 Y 3.20-3.35, 6 In 3.38-3.42
Y 0.5000 0.5000 0.0000  8 In 3.20-3.29, 4 Y 3.54
Y 0.7740 0.2260 0.5000  10 In 3.22-3.35, 2 Y 3.54
Y 0.2260 0.7740 0.5000  10 In 3.22-3.35, 2 Y 3.54



#x
Below is Y3In5 after structural relaxation, with properties calculated at the PBE level.

a b c (Å): 6.3956 6.3956 10.4043
angles (deg): 90.00 90.00 101.57
Last column: nearest neighbours and their distance in Å.
Positions (direct):
In 0.0047 0.0047 0.2500  5 Y 3.12-3.30, 6 In 3.15-3.30
In 0.9953 0.9953 0.7500  5 Y 3.12-3.30, 6 In 3.15-3.30
In 0.3071 0.3071 0.0444  4 In 3.04-3.25, 6 Y 3.12-3.35
In 0.6929 0.6929 0.5444  4 In 3.04-3.25, 6 Y 3.12-3.35
In 0.3071 0.3071 0.4556  4 In 3.04-3.25, 6 Y 3.12-3.35
In 0.6929 0.6929 0.9556  4 In 3.04-3.25, 6 Y 3.12-3.35
In 0.5070 0.0723 0.2500  4 In 3.04-3.30, 3 Y 3.12-3.20
In 0.4930 0.9277 0.7500  4 In 3.04-3.30, 3 Y 3.12-3.20
In 0.0723 0.5070 0.2500  4 In 3.04-3.30, 3 Y 3.12-3.20
In 0.9277 0.4930 0.7500  4 In 3.04-3.30, 3 Y 3.12-3.20
Y 0.6190 0.6190 0.2500  9 In 3.12-3.42
Y 0.3810 0.3810 0.7500  9 In 3.12-3.42
Y 0.2046 0.7954 0.0000  10 In 3.20-3.50
Y 0.7954 0.2046 0.5000  10 In 3.20-3.50
Y 0.7954 0.2046 0.0000  10 In 3.20-3.50
Y 0.2046 0.7954 0.5000  10 In 3.20-3.50



#y
Below is Y3In5 after structural relaxation, with properties calculated at the PBE level.

a b c (Å): 9.0040 9.0040 6.3018
angles (deg): 90.00 90.00 120.00
Last column: nearest neighbours and their distance in Å.
Positions (direct):
Y 0.5955 0.0000 0.2500  7 In 3.16-3.43
Y 0.4045 0.0000 0.7500  7 In 3.16-3.43
Y 0.0000 0.5955 0.2500  7 In 3.16-3.43
Y 0.4045 0.4045 0.2500  7 In 3.16-3.43
Y 0.5955 0.5955 0.7500  7 In 3.16-3.43
Y 0.0000 0.4045 0.7500  7 In 3.16-3.43
In 0.3333 0.6667 0.0000  2 In 3.15, 6 Y 3.16
In 0.6667 0.3333 0.5000  2 In 3.15, 6 Y 3.16
In 0.6667 0.3333 0.0000  2 In 3.15, 6 Y 3.16
In 0.3333 0.6667 0.5000  2 In 3.15, 6 Y 3.16
In 0.2146 0.0000 0.2500  3 Y 3.16-3.43, 2 In 3.35
In 0.7854 0.0000 0.7500  3 Y 3.16-3.43, 2 In 3.35
In 0.0000 0.2146 0.2500  3 Y 3.16-3.43, 2 In 3.35
In 0.7854 0.7854 0.2500  3 Y 3.16-3.43, 2 In 3.35
In 0.2146 0.2146 0.7500  3 Y 3.16-3.43, 2 In 3.35
In 0.0000 0.7854 0.7500  3 Y 3.16-3.43, 2 In 3.35



If you had to bet on the most stable structure above, which would it be? Bet on #x.